! Ac12ScSn7, optimized geometry, DFT PBE; values from VASP
&SYSTEM
  ibrav = 0, nat = 20, ntyp = 3
/
ATOMIC_SPECIES
Ac 227.00 Ac.upf
Sc 44.96 Sc.upf
Sn 118.71 Sn.upf
ATOMIC_POSITIONS angstrom
Ac -1.4385 8.2630 3.2702
Ac -3.5849 2.4958 4.5466
Ac -0.9376 4.2683 1.6103
Ac -0.4040 4.9953 6.1584
Ac 2.1561 5.7906 -1.2534
Ac 2.6550 6.8845 2.9321
Ac 0.5410 0.7447 4.5655
Ac 1.0398 1.8386 8.7509
Ac 3.6000 2.6339 1.3392
Ac 4.1336 3.3608 5.8872
Ac 6.7809 5.1334 2.9510
Ac 4.6345 -0.6338 4.2274
Sc 0.0000 0.0000 0.0000
Sn 0.9453 7.9785 5.5448
Sn -1.7468 1.1098 2.1720
Sn 0.9708 2.7596 -0.6652
Sn 1.5980 3.8146 3.7488
Sn 2.2252 4.8696 8.1628
Sn 4.9428 6.5193 5.3256
Sn 2.2507 -0.3493 1.9527
CELL_PARAMETERS angstrom
-7.9601 4.0939 4.7684
6.0190 -4.0443 7.0906
5.1371 7.5795 -4.3614
! Energy of formation from the pure elements = -0.253 eV per atom
! Theoretical density = 6.95 Mg/m³
! Total moment = 0.00 μB/f.u.
! Calculated total energy = -4.44 eV per atom